Entry from the Alexandria database: a geometry-optimized SrLi2Al2Ge2 structure (PBE-GGA).

The structure in POSCAR format:
```
SrLi2Al2Ge2
1.0
-1.261 -1.470 -3.884
1.765 -2.719 2.881
-8.497 0.622 2.523
Sr Li Al Ge
1 2 2 2
Cartesian
0.000 0.000 0.000
-3.441 -0.746 1.399
-4.552 -2.821 0.121
-6.149 -0.699 -0.164
-1.844 -2.868 1.684
-2.111 -2.291 -0.872
-5.882 -1.276 2.393
```

Electronic total energy: -3.587 eV per atom
ΔE_f: -0.41 eV per atom
DOS(E_F): 0.97 states/eV/f.u.
SG: No. 166
Crystal system: trigonal